# 1
Material: ErMgSb
Method: DFT, PBE
State: relaxed

formation energy without anion corrections = -0.452 eV/atom
spin magnetization = 0.00 μB per atom
raw total energy = -11.64 eV per cell
density = 6.9 g/cm3

Unit cell a=3.937 b=4.705 c=4.705 alpha=120.00 beta=90.00 gamma=90.00
Fractional coordinates of all 3 atoms:
Sb1 0.167 0.333 0.667
Mg1 0.166 0.000 0.000
Er1 0.667 0.667 0.333

---

# 2
Material: LaTiN
Method: DFT, PBE
State: relaxed

formation energy without anion corrections = -0.716 eV/atom
spin magnetization = 0.00 μB per atom
raw total energy = -46.59 eV per cell
density = 6.1 g/cm3

Unit cell a=3.471 b=3.471 c=9.131 alpha=90.00 beta=90.00 gamma=90.00
Fractional coordinates of all 6 atoms:
La1 0.000 0.500 0.797
La2 0.500 0.000 0.203
N1 0.000 0.500 0.341
N2 0.500 0.000 0.659
Ti1 0.500 0.500 0.500
Ti2 0.000 0.000 0.500

---

# 3
Material: CdHg2Se
Method: DFT, PBE
State: relaxed

formation energy without anion corrections = -0.043 eV/atom
spin magnetization = 0.00 μB per atom
raw total energy = -5.18 eV per cell
density = 9.5 g/cm3

Unit cell a=4.062 b=3.014 c=8.640 alpha=100.74 beta=90.00 gamma=90.00
Fractional coordinates of all 4 atoms:
Cd1 0.500 0.564 0.746
Hg1 0.000 0.174 0.972
Hg2 0.500 0.300 0.253
Se1 0.000 0.462 0.529